1.
# K2Sn4Pd3 GGA-PBE relaxed
data_K2Sn4Pd3
_chemical_formula_sum 'K2 Sn4 Pd3'
_symmetry_space_group_name_H-M 'P 1'
_symmetry_Int_Tables_number 1
_cell_length_a 6.156
_cell_length_b 6.156
_cell_length_c 7.516
_cell_angle_alpha 101.16
_cell_angle_beta 101.16
_cell_angle_gamma 121.82
loop_
_symmetry_equiv_pos_as_xyz
'x,y,z'
loop_
_atom_site_label
_atom_site_fract_x
_atom_site_fract_y
_atom_site_fract_z
_atom_site_occupancy
K1 0.621 0.621 0.243 1
K2 0.379 0.379 0.757 1
Sn1 0.016 0.675 0.691 1
Sn2 0.984 0.325 0.309 1
Sn3 0.325 0.984 0.309 1
Sn4 0.675 0.016 0.691 1
Pd1 0.000 0.500 0.000 1
Pd2 0.500 0.000 0.000 1
Pd3 0.000 0.000 0.000 1
# DOS(E_F)	2.193	states/eV per cell
# energy	-36.83	eV per cell
# E_form	-0.34	eV per atom
# space group	Fmmm (69)

2.
# K3Sn9Pd2 GGA-PBE relaxed
data_K3Sn9Pd2
_chemical_formula_sum 'K3 Sn9 Pd2'
_symmetry_space_group_name_H-M 'P 1'
_symmetry_Int_Tables_number 1
_cell_length_a 4.676
_cell_length_b 9.516
_cell_length_c 9.516
_cell_angle_alpha 81.75
_cell_angle_beta 75.78
_cell_angle_gamma 75.78
loop_
_symmetry_equiv_pos_as_xyz
'x,y,z'
loop_
_atom_site_label
_atom_site_fract_x
_atom_site_fract_y
_atom_site_fract_z
_atom_site_occupancy
Sn1 0.127 0.165 0.582 1
Sn2 0.127 0.582 0.165 1
Sn3 0.347 0.014 0.292 1
Sn4 0.000 0.500 0.500 1
Sn5 0.873 0.835 0.418 1
Sn6 0.873 0.418 0.835 1
Sn7 0.653 0.986 0.708 1
Sn8 0.347 0.292 0.014 1
Sn9 0.653 0.708 0.986 1
K1 0.696 0.304 0.304 1
K2 0.304 0.696 0.696 1
K3 0.000 0.000 0.000 1
Pd1 0.500 0.290 0.710 1
Pd2 0.500 0.710 0.290 1
# DOS(E_F)	5.878	states/eV per cell
# energy	-52.80	eV per cell
# E_form	-0.22	eV per atom
# space group	Immm (71)

3.
# KSnPd2W GGA-PBE relaxed
data_KSnPd2W
_chemical_formula_sum 'K1 Sn1 Pd2 W1'
_symmetry_space_group_name_H-M 'P 1'
_symmetry_Int_Tables_number 1
_cell_length_a 4.995
_cell_length_b 5.306
_cell_length_c 4.995
_cell_angle_alpha 90.00
_cell_angle_beta 90.00
_cell_angle_gamma 90.00
loop_
_symmetry_equiv_pos_as_xyz
'x,y,z'
loop_
_atom_site_label
_atom_site_fract_x
_atom_site_fract_y
_atom_site_fract_z
_atom_site_occupancy
Pd1 0.000 0.000 0.500 1
Pd2 0.500 0.000 0.000 1
Sn1 0.000 0.500 0.000 1
K1 0.500 0.500 0.500 1
W1 0.000 0.000 0.000 1
# DOS(E_F)	5.905	states/eV per cell
# energy	-25.11	eV per cell
# E_form	0.66	eV per atom
# space group	P4/mmm (123)

4.
# KSr2Pd2 GGA-PBE relaxed
data_KSr2Pd2
_chemical_formula_sum 'K2 Sr4 Pd4'
_symmetry_space_group_name_H-M 'P 1'
_symmetry_Int_Tables_number 1
_cell_length_a 8.691
_cell_length_b 8.691
_cell_length_c 4.072
_cell_angle_alpha 90.00
_cell_angle_beta 90.00
_cell_angle_gamma 90.00
loop_
_symmetry_equiv_pos_as_xyz
'x,y,z'
loop_
_atom_site_label
_atom_site_fract_x
_atom_site_fract_y
_atom_site_fract_z
_atom_site_occupancy
Sr1 0.156 0.656 0.500 1
Sr2 0.656 0.844 0.500 1
Sr3 0.344 0.156 0.500 1
Sr4 0.844 0.344 0.500 1
Pd1 0.375 0.875 0.000 1
Pd2 0.125 0.375 0.000 1
Pd3 0.625 0.125 0.000 1
Pd4 0.875 0.625 0.000 1
K1 0.000 0.000 0.000 1
K2 0.500 0.500 0.000 1
# DOS(E_F)	5.775	states/eV per cell
# energy	-33.18	eV per cell
# E_form	-0.35	eV per atom
# space group	P4/mbm (127)

5.
# KSr2Pd2 GGA-PBE relaxed
data_KSr2Pd2
_chemical_formula_sum 'K2 Sr4 Pd4'
_symmetry_space_group_name_H-M 'P 1'
_symmetry_Int_Tables_number 1
_cell_length_a 8.982
_cell_length_b 8.982
_cell_length_c 3.720
_cell_angle_alpha 90.00
_cell_angle_beta 90.00
_cell_angle_gamma 90.00
loop_
_symmetry_equiv_pos_as_xyz
'x,y,z'
loop_
_atom_site_label
_atom_site_fract_x
_atom_site_fract_y
_atom_site_fract_z
_atom_site_occupancy
Sr1 0.640 0.140 0.000 1
Sr2 0.360 0.860 0.000 1
Sr3 0.860 0.640 0.000 1
Sr4 0.140 0.360 0.000 1
K1 0.000 0.000 0.000 1
K2 0.500 0.500 0.000 1
Pd1 0.652 0.848 0.500 1
Pd2 0.848 0.348 0.500 1
Pd3 0.152 0.652 0.500 1
Pd4 0.348 0.152 0.500 1
# DOS(E_F)	3.122	states/eV per cell
# energy	-32.46	eV per cell
# E_form	-0.28	eV per atom
# space group	P4/mbm (127)

6.
# K2Sr4Pd GGA-PBE relaxed
data_K2Sr4Pd
_chemical_formula_sum 'K2 Sr4 Pd1'
_symmetry_space_group_name_H-M 'P 1'
_symmetry_Int_Tables_number 1
_cell_length_a 6.101
_cell_length_b 6.101
_cell_length_c 11.524
_cell_angle_alpha 74.65
_cell_angle_beta 74.65
_cell_angle_gamma 90.00
loop_
_symmetry_equiv_pos_as_xyz
'x,y,z'
loop_
_atom_site_label
_atom_site_fract_x
_atom_site_fract_y
_atom_site_fract_z
_atom_site_occupancy
K1 0.341 0.341 0.319 1
K2 0.659 0.659 0.681 1
Pd1 0.000 0.000 0.000 1
Sr1 0.500 0.000 0.000 1
Sr2 0.860 0.860 0.279 1
Sr3 0.000 0.500 0.000 1
Sr4 0.140 0.140 0.721 1
# DOS(E_F)	6.379	states/eV per cell
# energy	-14.77	eV per cell
# E_form	-0.09	eV per atom
# space group	I4/mmm (139)

7.
# KSr2Pd2 GGA-PBE relaxed
data_KSr2Pd2
_chemical_formula_sum 'K1 Sr2 Pd2'
_symmetry_space_group_name_H-M 'P 1'
_symmetry_Int_Tables_number 1
_cell_length_a 5.597
_cell_length_b 5.597
_cell_length_c 6.672
_cell_angle_alpha 65.20
_cell_angle_beta 65.20
_cell_angle_gamma 90.00
loop_
_symmetry_equiv_pos_as_xyz
'x,y,z'
loop_
_atom_site_label
_atom_site_fract_x
_atom_site_fract_y
_atom_site_fract_z
_atom_site_occupancy
Sr1 0.750 0.250 0.500 1
Sr2 0.250 0.750 0.500 1
Pd1 0.375 0.375 0.251 1
Pd2 0.625 0.625 0.749 1
K1 0.000 0.000 0.000 1
# DOS(E_F)	3.199	states/eV per cell
# energy	-16.04	eV per cell
# E_form	-0.24	eV per atom
# space group	I4/mmm (139)

8.
# KSrPd2 GGA-PBE relaxed
data_KSrPd2
_chemical_formula_sum 'K2 Sr2 Pd4'
_symmetry_space_group_name_H-M 'P 1'
_symmetry_Int_Tables_number 1
_cell_length_a 8.302
_cell_length_b 8.302
_cell_length_c 6.635
_cell_angle_alpha 51.27
_cell_angle_beta 51.27
_cell_angle_gamma 90.00
loop_
_symmetry_equiv_pos_as_xyz
'x,y,z'
loop_
_atom_site_label
_atom_site_fract_x
_atom_site_fract_y
_atom_site_fract_z
_atom_site_occupancy
Pd1 0.875 0.882 0.750 1
Pd2 0.118 0.625 0.250 1
Pd3 0.632 0.125 0.250 1
Pd4 0.375 0.368 0.750 1
K1 0.500 0.500 0.000 1
K2 0.250 0.750 0.500 1
Sr1 0.750 0.250 0.500 1
Sr2 0.000 0.000 0.000 1
# DOS(E_F)	2.747	states/eV per cell
# energy	-26.27	eV per cell
# E_form	0.01	eV per atom
# space group	I-42d (122)

9.
# KSr2Pd GGA-PBE relaxed
data_KSr2Pd
_chemical_formula_sum 'K1 Sr2 Pd1'
_symmetry_space_group_name_H-M 'P 1'
_symmetry_Int_Tables_number 1
_cell_length_a 4.415
_cell_length_b 4.415
_cell_length_c 12.051
_cell_angle_alpha 79.45
_cell_angle_beta 79.45
_cell_angle_gamma 60.00
loop_
_symmetry_equiv_pos_as_xyz
'x,y,z'
loop_
_atom_site_label
_atom_site_fract_x
_atom_site_fract_y
_atom_site_fract_z
_atom_site_occupancy
K1 0.000 0.000 0.000 1
Sr1 0.880 0.880 0.360 1
Sr2 0.120 0.120 0.640 1
Pd1 0.500 0.500 0.500 1
# DOS(E_F)	2.734	states/eV per cell
# energy	-10.71	eV per cell
# E_form	-0.26	eV per atom
# space group	R-3m (166)

10.
# KSr3Pd GGA-PBE relaxed
data_KSr3Pd
_chemical_formula_sum 'K1 Sr3 Pd1'
_symmetry_space_group_name_H-M 'P 1'
_symmetry_Int_Tables_number 1
_cell_length_a 4.427
_cell_length_b 7.548
_cell_length_c 7.548
_cell_angle_alpha 72.54
_cell_angle_beta 90.00
_cell_angle_gamma 90.00
loop_
_symmetry_equiv_pos_as_xyz
'x,y,z'
loop_
_atom_site_label
_atom_site_fract_x
_atom_site_fract_y
_atom_site_fract_z
_atom_site_occupancy
Sr1 0.000 0.166 0.834 1
Sr2 0.500 0.169 0.319 1
Sr3 0.500 0.681 0.831 1
K1 0.000 0.671 0.329 1
Pd1 0.500 0.941 0.059 1
# DOS(E_F)	4.432	states/eV per cell
# energy	-11.99	eV per cell
# E_form	-0.13	eV per atom
# space group	Amm2 (38)

11.
# KSr3Pd GGA-PBE relaxed
data_KSr3Pd
_chemical_formula_sum 'K4 Sr12 Pd4'
_symmetry_space_group_name_H-M 'P 1'
_symmetry_Int_Tables_number 1
_cell_length_a 31.937
_cell_length_b 8.127
_cell_length_c 12.369
_cell_angle_alpha 90.00
_cell_angle_beta 162.79
_cell_angle_gamma 90.00
loop_
_symmetry_equiv_pos_as_xyz
'x,y,z'
loop_
_atom_site_label
_atom_site_fract_x
_atom_site_fract_y
_atom_site_fract_z
_atom_site_occupancy
Sr1 0.812 0.596 0.479 1
Sr2 0.586 0.125 0.425 1
Sr3 0.144 0.953 0.246 1
Sr4 0.688 0.096 0.021 1
Sr5 0.086 0.375 0.925 1
Sr6 0.414 0.875 0.575 1
Sr7 0.914 0.625 0.075 1
Sr8 0.856 0.047 0.754 1
Sr9 0.312 0.904 0.979 1
Sr10 0.356 0.453 0.254 1
Sr11 0.188 0.404 0.521 1
Sr12 0.644 0.547 0.746 1
K1 0.525 0.334 0.961 1
K2 0.025 0.166 0.461 1
K3 0.975 0.834 0.539 1
K4 0.475 0.666 0.039 1
Pd1 0.553 0.748 0.719 1
Pd2 0.947 0.248 0.781 1
Pd3 0.447 0.252 0.281 1
Pd4 0.053 0.752 0.219 1
# DOS(E_F)	13.915	states/eV per cell
# energy	-49.21	eV per cell
# E_form	-0.19	eV per atom
# space group	P2_1/c (14)

12.
# KSr2Pd GGA-PBE relaxed
data_KSr2Pd
_chemical_formula_sum 'K1 Sr2 Pd1'
_symmetry_space_group_name_H-M 'P 1'
_symmetry_Int_Tables_number 1
_cell_length_a 5.837
_cell_length_b 5.837
_cell_length_c 5.837
_cell_angle_alpha 60.00
_cell_angle_beta 60.00
_cell_angle_gamma 60.00
loop_
_symmetry_equiv_pos_as_xyz
'x,y,z'
loop_
_atom_site_label
_atom_site_fract_x
_atom_site_fract_y
_atom_site_fract_z
_atom_site_occupancy
Sr1 0.750 0.750 0.750 1
Sr2 0.250 0.250 0.250 1
K1 0.000 0.000 0.000 1
Pd1 0.500 0.500 0.500 1
# DOS(E_F)	2.195	states/eV per cell
# energy	-9.66	eV per cell
# E_form	0.00	eV per atom
# space group	Fm-3m (225)

- The lowest E_form belongs to which entry?
  number 4

- Number 7 is which compound?
  KSr2Pd2

- E_form of number 9 (KSr2Pd)?
  -0.26 eV per atom